CaPuMnO6 PBE+U optimized geometry; D(E_F) = 5.325 states/eV/f.u.; DFT total energy = -8.242 eV/atom; space group = P-31c, No. 163; total magnetic moment = 10.00 Bohr magnetons per cell
1.0
5.301 0.000 0.000
-2.650 4.590 0.000
0.000 0.000 10.112
Ca Pu Mn O
2 2 2 12
direct
0.000 0.000 0.000
0.000 0.000 0.500
0.333 0.667 0.250
0.667 0.333 0.750
0.667 0.333 0.250
0.333 0.667 0.750
0.644 0.632 0.143
0.989 0.356 0.143
0.356 0.989 0.643
0.011 0.644 0.857
0.368 0.356 0.357
0.989 0.632 0.357
0.632 0.989 0.857
0.644 0.011 0.357
0.011 0.368 0.643
0.368 0.011 0.143
0.632 0.644 0.643
0.356 0.368 0.857

=====

CaPuMn2O8 PBE+U optimized geometry; D(E_F) = 3.802 states/eV/f.u.; DFT total energy = -7.766 eV/atom; space group = I-4m2, No. 119; total magnetic moment = 8.00 Bohr magnetons per cell
1.0
5.967 0.202 0.000
-2.466 5.438 0.000
-1.751 -2.820 4.963
Ca Pu Mn O
1 1 2 8
direct
0.000 0.000 0.000
0.250 0.750 0.500
0.750 0.250 0.500
0.500 0.500 0.000
0.400 0.082 0.318
0.302 0.520 0.219
0.302 0.083 0.781
0.763 0.082 0.682
0.917 0.698 0.219
0.918 0.237 0.318
0.918 0.600 0.682
0.480 0.698 0.781

=====

Question: What is the D(E_F) in the first record?
Answer: 5.325 states/eV/f.u.

=====

Question: Which of these has the lowest total magnetic moment?
Answer: CaPuMn2O8

=====

Question: The highest total magnetic moment belongs to which entry?
Answer: CaPuMnO6